ZrIr2F: optimized geometry, GGA-PBE.

Output
- Total DFT energy (no corrections): -7.553 eV/atom
- E above lowest polymorph: 0 meV per atom
- E_form (uncorrected): -0.517 eV/atom

a = 10.434 Å, b = 10.434 Å, c = 10.434 Å
α = 160.23°, β = 160.23°, γ = 28.10°
Atoms (fractional coordinates):
Zr 0.000 0.000 0.000
Zr 0.750 0.250 0.500
Ir 0.134 0.625 0.009
Ir 0.375 0.384 0.509
Ir 0.616 0.125 0.991
Ir 0.875 0.866 0.491
F 0.250 0.750 0.500
F 0.500 0.500 0.000

Co2MoRu: optimized geometry, GGA-PBE.

Output
- Total DFT energy (no corrections): -7.991 eV/atom
- E above lowest polymorph: 579 meV per atom
- Calculated formation energy: 13.58 kcal/mol of atoms

a = 9.005 Å, b = 9.005 Å, c = 9.005 Å
α = 157.01°, β = 157.01°, γ = 32.74°
Atoms (fractional coordinates):
Co 0.114 0.625 0.989
Co 0.375 0.364 0.489
Co 0.636 0.125 0.011
Co 0.875 0.886 0.511
Mo 0.250 0.750 0.500
Mo 0.500 0.500 0.000
Ru 0.000 0.000 0.000
Ru 0.750 0.250 0.500

AcZnSe2O8: optimized geometry, GGA-PBE.

Output
- Total DFT energy (no corrections): -5.641 eV/atom
- E_form (uncorrected): -1.307 eV/atom

a = 5.584 Å, b = 5.584 Å, c = 7.205 Å
α = 90.00°, β = 90.00°, γ = 120.00°
Atoms (fractional coordinates):
Ac 0.000 0.000 0.000
Zn 0.000 0.000 0.500
Se 0.333 0.667 0.243
Se 0.667 0.333 0.757
O 0.158 0.315 0.299
O 0.158 0.842 0.299
O 0.315 0.158 0.701
O 0.333 0.667 0.007
O 0.667 0.333 0.993
O 0.685 0.842 0.299
O 0.842 0.158 0.701
O 0.842 0.685 0.701

TbDyCoCu: optimized geometry, GGA-PBE.

Output
- Total DFT energy (no corrections): -5.322 eV/atom
- E above lowest polymorph: 0 meV per atom
- Calculated formation energy: -4.92 kcal/mol of atoms

a = 4.234 Å, b = 5.450 Å, c = 5.450 Å
α = 40.87°, β = 90.00°, γ = 90.00°
Atoms (fractional coordinates):
Tb 0.000 0.000 0.000
Dy 0.500 0.719 0.719
Co 0.000 0.286 0.286
Cu 0.500 0.426 0.426

ZrNbS2: optimized geometry, GGA-PBE.

Output
- Total DFT energy (no corrections): -7.451 eV/atom
- E above lowest polymorph: 365 meV per atom
- E_form (uncorrected): -0.733 eV/atom

a = 8.701 Å, b = 8.701 Å, c = 8.701 Å
α = 21.62°, β = 21.62°, γ = 21.62°
Atoms (fractional coordinates):
Zr 0.000 0.000 0.000
Nb 0.500 0.500 0.500
S 0.102 0.102 0.102
S 0.898 0.898 0.898

CaAc2Gd: optimized geometry, GGA-PBE.

Output
- Total DFT energy (no corrections): -6.038 eV/atom
- E above lowest polymorph: 0 meV per atom
- Calculated formation energy: 0.85 kcal/mol of atoms

a = 3.887 Å, b = 3.887 Å, c = 10.844 Å
α = 90.00°, β = 90.00°, γ = 90.00°
Atoms (fractional coordinates):
Ca 0.000 0.000 0.000
Ac 0.500 0.500 0.264
Ac 0.500 0.500 0.736
Gd 0.000 0.000 0.500

Question: Among the records above, which one has the highest total DFT energy (no corrections)?
Answer: TbDyCoCu

Question: total DFT energy (no corrections) of number 5 (ZrNbS2)?
Answer: -7.451 eV/atom